Density functional theory data (PBE) for LiZr2In2CuPt2 after structural relaxation.

Geometry as POSCAR:
```
LiZr2In2CuPt2
1.0
4.6332 0.0000 0.0000
0.0000 4.6332 0.0000
0.0000 0.0000 6.5629
Cu In Li Pt Zr
1 2 1 2 2
direct
0.5000 0.5000 0.0000
0.0000 0.5000 0.2499
0.5000 0.0000 0.7501
0.0000 0.0000 0.5000
0.0000 0.0000 0.0000
0.5000 0.5000 0.5000
0.5000 0.0000 0.2458
0.0000 0.5000 0.7542
```

Properties
As for the space group: No. 115. Its size of the total moment is 0.01 μB per formula unit.

Density functional theory data (PBE) for Li4InCu2Sb after structural relaxation.

Geometry as POSCAR:
```
Li4InCu2Sb
1.0
4.3790 0.0000 0.0000
0.0000 4.3790 0.0000
0.0000 0.0000 6.4281
Cu In Li Sb
2 1 4 1
direct
0.5000 0.0000 0.2486
0.0000 0.5000 0.7514
0.0000 0.0000 0.0000
0.5000 0.5000 0.0000
0.0000 0.5000 0.2499
0.0000 0.0000 0.5000
0.5000 0.0000 0.7501
0.5000 0.5000 0.5000
```

Properties
As for the space group: No. 115.

These records have DFT total energy values of -5.707, -3.066 eV/atom, in the order they appear.